Entry 1:
Here is crystalline RbHg2Au at its relaxed geometry from the Alexandria database. Energies are from PBE-GGA.

Its formation energy is -0.2196 eV/atom. The energy above the most stable polymorph in this dataset is 0.035 eV per atom.

abc: 5.0103 5.0103 18.4327
angles: 90.00 90.00 120.00
Space group R3m (No. 160, hexagonal axes)
Unique sites:
Rb  0.0000  0.0000  0.0000 x3
Hg  0.0000  0.0000  0.5424 x3
Hg  0.0000  0.0000  0.7959 x3
Au  0.0000  0.0000  0.1963 x3


Entry 2:
Here is crystalline PrSi3Rh3 at its relaxed geometry from the Alexandria database. Energies are from PBE-GGA.

The energy above the most stable polymorph in this dataset is 0.100 eV per atom.

abc: 6.5134 6.5134 6.5134
angles: 90.00 90.00 90.00
Space group Pm-3n (No. 223)
Unique sites:
Pr  0.0000  0.0000  0.0000 x2
Si  0.0000  0.2500  0.5000 x6
Rh  0.0000  0.5000  0.2500 x6


Entry 3:
Here is crystalline CaPmBiAu at its relaxed geometry from the Alexandria database. Energies are from PBE-GGA.

Its formation energy is -0.7241 eV/atom.

abc: 7.6355 7.6355 7.6355
angles: 90.00 90.00 90.00
Space group F-43m (No. 216)
Unique sites:
Ca  0.0000  0.0000  0.0000 x4
Pm  0.0000  0.0000  0.5000 x4
Bi  0.2500  0.2500  0.2500 x4
Au  0.2500  0.2500  0.7500 x4


Entry 4:
Here is crystalline GaSiPt4 at its relaxed geometry from the Alexandria database. Energies are from PBE-GGA.

The energy above the most stable polymorph in this dataset is 0.000 eV per atom.

abc: 6.5704 3.6518 15.3283
angles: 90.00 90.00 90.00
Space group Pnma (No. 62)
Unique sites:
Ga  0.2480  0.2500  0.1941 x4
Si  0.2489  0.7500  0.4401 x4
Pt  0.0160  0.2500  0.0680 x4
Pt  0.0608  0.2500  0.7912 x4
Pt  0.1133  0.2500  0.3481 x4
Pt  0.1337  0.2500  0.5500 x4


Entry 5:
Here is crystalline CaZr4Au at its relaxed geometry from the Alexandria database. Energies are from PBE-GGA.

Its formation energy is 0.2599 eV/atom.

abc: 8.3172 8.3172 8.3172
angles: 90.00 90.00 90.00
Space group F-43m (No. 216)
Unique sites:
Ca  0.0000  0.0000  0.0000 x4
Zr  0.1251  0.1251  0.6251 x16
Au  0.2500  0.2500  0.2500 x4


Entry 6:
Here is crystalline Tc2TePt at its relaxed geometry from the Alexandria database. Energies are from PBE-GGA.

The calculation puts the total energy at -7.078 eV/atom.

abc: 3.2751 4.5090 9.0791
angles: 90.00 90.00 90.00
Space group Immm (No. 71)
Unique sites:
Tc  0.0000  0.0000  0.2231 x4
Te  0.0000  0.5000  0.5000 x2
Pt  0.0000  0.5000  0.0000 x2


Entry 7:
Here is crystalline Ac7Pm12Y at its relaxed geometry from the Alexandria database. Energies are from PBE-GGA.

Its formation energy is 0.8159 eV/atom.

abc: 12.1219 12.1219 12.1219
angles: 90.00 90.00 90.00
Space group Im-3 (No. 204)
Unique sites:
Ac  0.0000  0.0000  0.5000 x6
Ac  0.2500  0.2500  0.2500 x8
Pm  0.0000  0.3243  0.2440 x24
Y  0.0000  0.0000  0.0000 x2


Entry 8:
Here is crystalline Li5ReO6 at its relaxed geometry from the Alexandria database. Energies are from PBE-GGA.

The calculation puts the total energy at -6.270 eV/atom.

abc: 5.1166 8.8198 5.0817
angles: 90.00 110.13 90.00
Space group C2/m (No. 12)
Unique sites:
Li  0.0000  0.0000  0.0000 x2
Li  0.0000  0.1664  0.5000 x4
Li  0.0000  0.3237  0.0000 x4
Re  0.0000  0.5000  0.5000 x2
O  0.2277  0.5000  0.2740 x4
O  0.2302  0.3470  0.7340 x8